Density functional theory data (PBE) for a geometry-optimized CaVSe2 structure.

```
CaVSe2
1.0
2.1996 1.2699 7.8262
-2.1996 1.2699 7.8262
0.0000 -2.5399 7.8262
Ca V Se
1 1 2
Direct
0.0000 0.0000 0.0000
0.5000 0.5000 0.5000
0.3988 0.3988 0.3988
0.6012 0.6012 0.6012
```

Results
The magnetic moment comes out at 0.75 μB per atom. As for the formation energy from raw total energies: -0.6105 eV per atom. As for the mass density: 3152 kg/m³. As for the energy above the most stable polymorph in this dataset: 0.3498 eV per atom.


Density functional theory data (PBE) for a geometry-optimized CaVSe2 structure.

```
CaVSe2
1.0
0.0000 3.4584 3.4584
3.4584 0.0000 3.4584
3.4584 3.4584 0.0000
Ca V Se
1 1 2
Direct
0.0000 0.0000 0.0000
0.5000 0.5000 0.5000
0.2500 0.2500 0.2500
0.7500 0.7500 0.7500
```

Results
The magnetic moment comes out at 0.75 μB per atom. As for the formation energy from raw total energies: -0.7962 eV per atom. As for the mass density: 4997 kg/m³. As for the energy above the most stable polymorph in this dataset: 0.1641 eV per atom.


Density functional theory data (PBE) for a geometry-optimized CaVSe3 structure.

```
CaVSe3
1.0
4.9152 0.0000 0.0000
0.0000 4.9152 0.0000
0.0000 0.0000 4.9152
Ca V Se
1 1 3
Direct
0.0000 0.0000 0.0000
0.5000 0.5000 0.5000
0.0000 0.5000 0.5000
0.5000 0.0000 0.5000
0.5000 0.5000 0.0000
```

Results
The magnetic moment comes out at 0.20 μB per atom. As for the formation energy from raw total energies: -0.8000 eV per atom. As for the mass density: 4585 kg/m³. As for the energy above the most stable polymorph in this dataset: 0.0000 eV per atom.


Density functional theory data (PBE) for a geometry-optimized Ca2VSe structure.

```
Ca2VSe
1.0
-5.2426 5.2426 2.4020
5.2426 -5.2426 2.4020
5.2426 5.2426 -2.4020
Ca V Se
4 2 2
Direct
0.3750 0.2286 0.3536
0.7714 0.1250 0.1464
0.8750 0.0214 0.6464
0.9786 0.6250 0.8536
0.2500 0.7500 0.5000
0.5000 0.5000 0.0000
0.0000 0.0000 0.0000
0.7500 0.2500 0.5000
```

Results
The magnetic moment comes out at 0.84 μB per atom. As for the formation energy from raw total energies: -0.1537 eV per atom. As for the mass density: 2642 kg/m³.


Density functional theory data (PBE) for a geometry-optimized Ca2VWSe structure.

```
Ca2VWSe
1.0
5.6292 0.0000 0.0000
0.0000 5.6292 0.0000
0.0000 0.0000 4.3503
Ca V W Se
2 1 1 1
Direct
0.0000 0.5000 0.0000
0.5000 0.0000 0.0000
0.0000 0.0000 0.0000
0.0000 0.0000 0.5000
0.5000 0.5000 0.5000
```

Results
The magnetic moment comes out at 0.00 μB per atom. As for the formation energy from raw total energies: 0.7769 eV per atom. As for the mass density: 4745 kg/m³.


Density functional theory data (PBE) for a geometry-optimized CaY2VSe structure.

```
CaY2VSe
1.0
5.4292 0.0000 0.0000
0.0000 5.4292 0.0000
0.0000 0.0000 4.8073
Ca Y V Se
1 2 1 1
Direct
0.0000 0.0000 0.0000
0.0000 0.5000 0.5000
0.5000 0.0000 0.5000
0.5000 0.5000 0.5000
0.5000 0.5000 0.0000
```

Results
The magnetic moment comes out at 0.10 μB per atom. As for the formation energy from raw total energies: 0.1330 eV per atom. As for the mass density: 4076 kg/m³.


no.,N(E_F) (states/eV per cell)
1,3.06
2,1.91
3,3.79
4,6.35
5,5.27
6,6.48